(1)
# Cd2Se

A crystal of Cd2Se relaxed with PBEsol (meta-GGA SCAN, Alexandria).

Properties
Energy relative to the elements, uncorrected = -0.0286 eV/atom

Cell and atoms, written as CIF:
```
data_Cd2Se
_cell_length_a 3.8114
_cell_length_b 3.8114
_cell_length_c 8.9496
_cell_angle_alpha 90.00
_cell_angle_beta 90.00
_cell_angle_gamma 90.00
_symmetry_space_group_name_H-M 'I 4/m m m'
_symmetry_Int_Tables_number 139
_symmetry_space_group_name_Hall '-I 4 2'
loop_
_atom_site_label
_atom_site_type_symbol
_atom_site_fract_x
_atom_site_fract_y
_atom_site_fract_z
Cd1 Cd 0.0000 0.0000 0.1657
Se1 Se 0.0000 0.0000 0.5000
```


(2)
# TaTeBr2

A crystal of TaTeBr2 relaxed with PBEsol (meta-GGA SCAN, Alexandria).

Properties
Energy relative to the elements, uncorrected = 0.8997 eV/atom

Cell and atoms, written as CIF:
```
data_TaTeBr2
_cell_length_a 4.3923
_cell_length_b 4.3923
_cell_length_c 4.7097
_cell_angle_alpha 90.00
_cell_angle_beta 90.00
_cell_angle_gamma 90.00
_symmetry_space_group_name_H-M 'P 4/m m m'
_symmetry_Int_Tables_number 123
_symmetry_space_group_name_Hall '-P 4 2'
loop_
_atom_site_label
_atom_site_type_symbol
_atom_site_fract_x
_atom_site_fract_y
_atom_site_fract_z
Ta1 Ta 0.0000 0.0000 0.0000
Te1 Te 0.5000 0.5000 0.0000
Br1 Br 0.0000 0.5000 0.5000
```


(3)
# NaLiNi2

A crystal of NaLiNi2 relaxed with PBEsol (meta-GGA SCAN, Alexandria).

Properties
Energy relative to the elements = 646 meV/atom

Cell and atoms, written as CIF:
```
data_NaLiNi2
_cell_length_a 5.9707
_cell_length_b 5.9707
_cell_length_c 5.9707
_cell_angle_alpha 90.00
_cell_angle_beta 90.00
_cell_angle_gamma 90.00
_symmetry_space_group_name_H-M 'F m -3 m'
_symmetry_Int_Tables_number 225
_symmetry_space_group_name_Hall '-F 4 2 3'
loop_
_atom_site_label
_atom_site_type_symbol
_atom_site_fract_x
_atom_site_fract_y
_atom_site_fract_z
Na1 Na 0.0000 0.0000 0.0000
Li1 Li 0.0000 0.0000 0.5000
Ni1 Ni 0.2500 0.2500 0.2500
```


(4)
# NaNiHRu2

A crystal of NaNiHRu2 relaxed with PBEsol (meta-GGA SCAN, Alexandria).

Properties
VASP energy = -15.942 eV/atom

Cell and atoms, written as CIF:
```
data_NaNiHRu2
_cell_length_a 4.5931
_cell_length_b 4.5931
_cell_length_c 4.2161
_cell_angle_alpha 90.00
_cell_angle_beta 90.00
_cell_angle_gamma 90.00
_symmetry_space_group_name_H-M 'P 4/m m m'
_symmetry_Int_Tables_number 123
_symmetry_space_group_name_Hall '-P 4 2'
loop_
_atom_site_label
_atom_site_type_symbol
_atom_site_fract_x
_atom_site_fract_y
_atom_site_fract_z
Na1 Na 0.0000 0.0000 0.0000
Ni1 Ni 0.0000 0.0000 0.5000
H1 H 0.5000 0.5000 0.5000
Ru1 Ru 0.0000 0.5000 0.0000
```


| no. | size of the total moment (μB/cell) |
| --- | --- |
| 1 | 0.00 |
| 2 | 2.17 |
| 3 | 2.97 |
| 4 | 5.68 |